First-principles (PBE) data for a relaxed structure of Sm2Fe15Si2, as listed in OQMD.

Properties
- DFT total energy: -7.683 eV per atom

a b c (Å): 8.3362 8.3362 12.4674
angles (deg): 90.00 90.00 120.00
Closest atoms and distances in Å follow each position.
Space group R-3m (No. 166, hexagonal axes)
One atom of each set of equivalent atoms:
1 Sm 0.0000 0.0000 0.1540 [6 per cell]  18 Fe 2.98-3.28, 1 Si 3.06
2 Fe 0.0000 0.2906 0.5000 [18 per cell]  8 Fe 2.42-2.65
3 Fe 0.0000 0.5000 0.0000 [9 per cell]  8 Fe 2.40-2.42, 2 Si 2.54
4 Fe 0.0030 0.5015 0.3406 [18 per cell]  8 Fe 2.40-2.65, 1 Si 2.55
5 Si 0.0000 0.0000 0.3991 [6 per cell]  1 Si 2.52, 12 Fe 2.54-2.73